TeOsBr2 PBE relaxed; space-group type = R-3m, No. 166; relative energy among the computed polymorphs = 51.3 kJ per mole of atoms; formation energy (no corrections) = 231 kJ/mol of formula units
1.0
1.788 0.000 12.768
-0.894 1.548 12.768
-0.894 -1.548 12.768
Te Os Br
1 1 2
direct
0.500 0.500 0.500 Te
0.000 0.000 0.000 Os
0.938 0.938 0.938 Br
0.062 0.062 0.062 Br

***

ScGeF PBE relaxed; space-group type = Pmmn, No. 59; relative energy among the computed polymorphs = 1.8 kJ per mole of atoms; formation energy (no corrections) = -550 kJ/mol of formula units
1.0
-1.225 3.195 -1.031
1.924 -1.468 -6.834
-3.194 -1.416 -0.595
Ge Sc F
2 2 2
direct
0.000 0.584 0.500 Ge
0.500 0.416 0.000 Ge
0.500 0.805 0.000 Sc
0.000 0.195 0.500 Sc
0.000 0.990 0.000 F
0.500 0.010 0.500 F

***

Mn2BiPRu PBE relaxed; space-group type = P4/mmm, No. 123; relative energy among the computed polymorphs = 234.1 kJ per mole of atoms
1.0
-4.564 1.182 -0.515
0.517 -0.211 -5.060
-1.196 -4.589 0.069
Mn Ru P Bi
2 1 1 1
direct
0.000 0.000 0.500 Mn
0.500 0.000 0.000 Mn
0.500 0.500 0.500 Ru
0.000 0.500 0.000 P
0.000 0.000 0.000 Bi

***

B5C7 PBE relaxed; space-group type = Pm, No. 6; relative energy among the computed polymorphs = 11.6 kJ per mole of atoms
1.0
-0.320 2.044 -1.401
-3.973 -0.284 0.492
0.516 4.519 6.475
C B
7 5
direct
0.500 0.768 0.674 C
0.000 0.988 0.673 C
0.000 0.991 0.328 C
0.500 0.779 0.328 C
0.500 0.477 0.824 C
0.000 0.239 0.175 C
0.000 0.258 0.822 C
0.500 0.540 0.498 B
0.000 0.205 0.503 B
0.000 0.047 0.002 B
0.500 0.472 0.202 B
0.500 0.737 0.971 B

***

TaTlCo2 PBE relaxed; space-group type = F-43m, No. 216; relative energy among the computed polymorphs = 47.1 kJ per mole of atoms
1.0
-0.305 4.439 -0.037
-3.364 1.981 -2.134
-3.214 2.028 2.313
Tl Co Ta
1 2 1
direct
0.750 0.750 0.750 Tl
0.250 0.250 0.250 Co
0.000 0.000 0.000 Co
0.500 0.500 0.500 Ta

***

Sn2HI PBE relaxed; space-group type = I-42d, No. 122; relative energy among the computed polymorphs = 0.0 kJ per mole of atoms
1.0
-1.488 -0.614 5.858
4.549 -3.958 0.740
5.343 2.369 4.755
Sn I H
4 2 2
direct
0.875 0.711 0.750 Sn
0.375 0.539 0.750 Sn
0.461 0.125 0.250 Sn
0.289 0.625 0.250 Sn
0.000 0.000 0.000 I
0.750 0.250 0.500 I
0.500 0.500 0.000 H
0.250 0.750 0.500 H

***

PaMo2Se4S2 PBE relaxed; space-group type = P3m1, No. 156; formation energy (no corrections) = -716 kJ/mol of formula units
1.0
3.468 0.000 0.000
-1.734 3.003 0.000
0.000 0.000 21.370
Se S Pa Mo
4 2 1 2
direct
0.667 0.333 0.057 Se
0.667 0.333 0.905 Se
0.000 0.000 0.729 Se
0.000 0.000 0.577 Se
0.667 0.333 0.407 S
0.667 0.333 0.242 S
0.000 0.000 0.325 Pa
0.000 0.000 0.981 Mo
0.667 0.333 0.653 Mo

***

Pm13Dy3 PBE relaxed; space-group type = Amm2, No. 38; relative energy among the computed polymorphs = 0.0 kJ per mole of atoms
1.0
-5.825 3.523 2.532
1.892 -1.755 6.789
5.510 8.616 0.691
Pm Dy
13 3
direct
0.249 0.751 0.500 Pm
0.501 0.499 0.751 Pm
0.248 0.249 0.000 Pm
0.751 0.249 0.500 Pm
0.501 0.001 0.751 Pm
0.751 0.751 0.500 Pm
0.999 0.499 0.249 Pm
0.501 0.499 0.249 Pm
0.751 0.752 0.000 Pm
0.249 0.249 0.500 Pm
0.999 0.499 0.751 Pm
0.249 0.751 0.000 Pm
0.501 0.001 0.249 Pm
0.999 0.001 0.249 Dy
0.752 0.248 0.000 Dy
0.999 0.001 0.751 Dy

***

Cd2CoPb PBE relaxed; space-group type = P4/mmm, No. 123; E = -0.106 Ha/atom
1.0
-1.810 2.482 -0.694
-1.193 -1.558 -2.462
-6.211 -3.133 4.993
Pb Co Cd
1 1 2
direct
0.500 0.500 0.750 Pb
0.500 0.500 0.250 Co
0.000 0.000 0.434 Cd
0.000 0.000 0.066 Cd

***

NdHfSi PBE relaxed; space-group type = P4/nmm, No. 129; formation energy (no corrections) = -161 kJ/mol of formula units
1.0
4.259 0.000 0.000
0.000 4.259 0.000
0.000 0.000 7.890
Nd Si Hf
2 2 2
direct
0.500 0.000 0.147 Nd
0.000 0.500 0.853 Nd
0.500 0.000 0.736 Si
0.000 0.500 0.264 Si
0.500 0.500 0.500 Hf
0.000 0.000 0.500 Hf

***

NbNiMo PBE relaxed; space-group type = Imma, No. 74; relative energy among the computed polymorphs = 4.8 kJ per mole of atoms
1.0
-3.518 -2.376 2.660
2.513 -4.321 -0.536
3.677 1.381 6.095
Nb Mo Ni
4 4 4
direct
0.500 0.250 0.374 Nb
0.000 0.750 0.874 Nb
0.000 0.250 0.126 Nb
0.500 0.750 0.626 Nb
0.750 0.250 0.750 Mo
0.250 0.250 0.750 Mo
0.250 0.750 0.250 Mo
0.750 0.750 0.250 Mo
0.500 0.500 0.000 Ni
0.000 0.500 0.500 Ni
0.000 0.000 0.500 Ni
0.500 0.000 0.000 Ni

***

YErSi2 PBE relaxed; space-group type = Pmc2_1, No. 26; relative energy among the computed polymorphs = 0.0 kJ per mole of atoms; formation energy (no corrections) = -322 kJ/mol of formula units
1.0
3.826 0.000 0.000
0.000 5.669 0.000
0.000 0.000 7.872
Si Y Er
4 2 2
direct
0.000 0.620 0.538 Si
0.000 0.380 0.038 Si
0.500 0.121 0.962 Si
0.500 0.879 0.462 Si
0.000 0.865 0.180 Y
0.000 0.135 0.680 Y
0.500 0.635 0.820 Er
0.500 0.365 0.320 Er

***

Repeat the first record exactly.
TeOsBr2 PBE relaxed; space-group type = R-3m, No. 166; relative energy among the computed polymorphs = 51.3 kJ per mole of atoms; formation energy (no corrections) = 231 kJ/mol of formula units
1.0
1.788 0.000 12.768
-0.894 1.548 12.768
-0.894 -1.548 12.768
Te Os Br
1 1 2
direct
0.500 0.500 0.500 Te
0.000 0.000 0.000 Os
0.938 0.938 0.938 Br
0.062 0.062 0.062 Br